The following is a PBE calculation of an optimized crystal structure of Pm7NdTm4, from Alexandria via LeMat-Bulk.

Geometry as POSCAR:
```
Pm7NdTm4
1.0
8.0357 -2.9861 0.0000
8.0357 2.9861 0.0000
-4.3200 0.0000 8.4138
Pm Nd Tm
7 1 4
Direct
0.0000 0.0000 0.0000
0.2841 0.2841 0.1129
0.2838 0.2838 0.7543
0.4122 0.4122 0.5450
0.5878 0.5878 0.4550
0.7162 0.7162 0.2457
0.7159 0.7159 0.8871
0.5000 0.5000 0.0000
0.0695 0.0695 0.6992
0.1679 0.1679 0.3767
0.8321 0.8321 0.6233
0.9305 0.9305 0.3008
```

Results
Calculated total energy = -4.451 eV per atom
M_tot = 0.15 μB per cell
Formation energy = 0.2078 eV per atom